Model i:
PmCo3B | PBE | relaxed

Lattice parameters (Å, degrees): 5.9831 9.8273 4.8640 90.00 90.00 90.00
Closest atoms and distances in Å follow each position.
Space group Cmcm (No. 63)
One atom of each set of equivalent atoms:
Pm 0.0000 0.0803 0.2500  1 B 2.54, 2 Co 2.75
Co 0.0000 0.5000 0.0000  2 B 1.99
Co 0.1943 0.2106 0.7500  1 B 1.89
B 0.0000 0.3391 0.2500  4 Co 1.89-1.99

Properties
The magnetization comes out at 12.25 μB per cell.

Model ii:
PmCo3B | PBE | relaxed

Lattice parameters (Å, degrees): 4.0059 4.0059 4.0059 90.00 90.00 90.00
Closest atoms and distances in Å follow each position.
Space group Pm-3m (No. 221)
One atom of each set of equivalent atoms:
Pm 0.0000 0.0000 0.0000  12 Co 2.83
Co 0.0000 0.5000 0.5000  2 B 2.00
B 0.5000 0.5000 0.5000  6 Co 2.00

Properties
The magnetization comes out at 0.93 μB per cell.

Relative to the most stable one, in meV/atom, the structures come out at model i 569; model ii 0.

Model i:
PrCoB2 | PBE | relaxed

Lattice parameters (Å, degrees): 3.1587 5.3672 6.4964 90.00 103.87 90.00
Closest atoms and distances in Å follow each position.
Space group P2_1/m (No. 11)
One atom of each set of equivalent atoms:
Pr 0.0833 0.2500 0.1611  6 B 2.76-2.84
Co 0.3303 0.2500 0.6627  6 B 2.06-2.10
B 0.2538 0.5889 0.5078  3 B 1.73-1.85

Properties
The magnetization comes out at 0.00 μB per cell.

Model ii:
PrCoB2 | PBE | relaxed

Lattice parameters (Å, degrees): 3.4616 3.4616 15.1978 90.00 90.00 120.00
Closest atoms and distances in Å follow each position.
Space group R-3m (No. 166, hexagonal axes)
One atom of each set of equivalent atoms:
Pr 0.0000 0.0000 0.0000  8 B 2.82-3.01
Co 0.0000 0.0000 0.5000  6 B 2.02
B 0.0000 0.0000 0.1852  3 Co 2.02, 3 B 2.08

Properties
The magnetization comes out at 0.00 μB per cell.

Relative to the most stable one, in meV/atom, the structures come out at model i 0; model ii 150.

Model i:
CoB3Pt | PBE | relaxed

Lattice parameters (Å, degrees): 4.0748 4.0748 4.0748 90.00 90.00 90.00
Closest atoms and distances in Å follow each position.
Space group Pm-3m (No. 221)
One atom of each set of equivalent atoms:
Co 0.0000 0.0000 0.0000  12 B 2.88
B 0.0000 0.5000 0.5000  2 Pt 2.04
Pt 0.5000 0.5000 0.5000  6 B 2.04

Properties
The magnetization comes out at 1.47 μB per cell.

Model ii:
CoB3Pt | PBE | relaxed

Lattice parameters (Å, degrees): 3.7597 3.7597 3.7597 90.00 90.00 90.00
Closest atoms and distances in Å follow each position.
Space group Pm-3m (No. 221)
One atom of each set of equivalent atoms:
Co 0.0000 0.0000 0.0000  6 B 1.88
B 0.0000 0.0000 0.5000  2 Co 1.88
Pt 0.5000 0.5000 0.5000  12 B 2.66

Properties
The magnetization comes out at 0.00 μB per cell.

Relative to the most stable one, in meV/atom, the structures come out at model i 534; model ii 0.

Model i:
CoB2Pt2 | PBE | relaxed

Lattice parameters (Å, degrees): 5.6704 5.6704 3.4119 90.00 90.00 90.00
Closest atoms and distances in Å follow each position.
Space group P4/mbm (No. 127)
One atom of each set of equivalent atoms:
Co 0.0000 0.0000 0.0000  4 B 2.30
B 0.1106 0.3894 0.0000  1 B 1.77
Pt 0.2212 0.7212 0.5000  2 B 2.17

Properties
The magnetization comes out at 0.00 μB per cell.

Model ii:
CoB2Pt2 | PBE | relaxed

Lattice parameters (Å, degrees): 3.1052 3.1052 12.1389 90.00 90.00 90.00
Closest atoms and distances in Å follow each position.
Space group I4/mmm (No. 139)
One atom of each set of equivalent atoms:
Co 0.0000 0.0000 0.0000  8 Pt 2.69
B 0.0000 0.5000 0.2500  4 Pt 2.15, 4 B 2.20
Pt 0.0000 0.0000 0.3726  4 B 2.15

Properties
The magnetization comes out at 2.92 μB per cell.

Relative to the most stable one, in meV/atom, the structures come out at model i 26; model ii 0.

Model i:
RbCo3B | PBE | relaxed

Lattice parameters (Å, degrees): 4.1173 4.1173 4.1173 90.00 90.00 90.00
Closest atoms and distances in Å follow each position.
Space group Pm-3m (No. 221)
One atom of each set of equivalent atoms:
Rb 0.0000 0.0000 0.0000  12 Co 2.91
Co 0.0000 0.5000 0.5000  2 B 2.06
B 0.5000 0.5000 0.5000  6 Co 2.06

Properties
The magnetization comes out at 2.70 μB per cell.

Model ii:
RbCo3B | PBE | relaxed

Lattice parameters (Å, degrees): 4.5572 4.5572 4.5572 90.00 90.00 90.00
Closest atoms and distances in Å follow each position.
Space group Pm-3m (No. 221)
One atom of each set of equivalent atoms:
Rb 0.0000 0.0000 0.0000  6 Co 2.28
Co 0.0000 0.0000 0.5000  2 Rb 2.28
B 0.5000 0.5000 0.5000  12 Co 3.22

Properties
The magnetization comes out at 3.42 μB per cell.

Relative to the most stable one, in meV/atom, the structures come out at model i 0; model ii 2460.

Model i:
RbCoB2 | PBE | relaxed

Lattice parameters (Å, degrees): 8.4940 8.4940 8.4940 90.00 90.00 90.00
Closest atoms and distances in Å follow each position.
Space group Fd-3m (No. 227, origin choice 2)
One atom of each set of equivalent atoms:
Rb 0.1250 0.1250 0.1250  12 B 3.52, 4 Rb 3.68, 4 Co 3.68
Co 0.1250 0.1250 0.6250  4 B 1.84
B 0.0000 0.0000 0.5000  2 Co 1.84

Properties
The magnetization comes out at 0.00 μB per cell.

Model ii:
RbCoB2 | PBE | relaxed

Lattice parameters (Å, degrees): 6.2615 6.2615 6.2615 90.00 90.00 90.00
Closest atoms and distances in Å follow each position.
Space group Fm-3m (No. 225)
One atom of each set of equivalent atoms:
Rb 0.0000 0.0000 0.0000  8 B 2.71
Co 0.0000 0.0000 0.5000  8 B 2.71
B 0.2500 0.2500 0.2500  4 Co 2.71, 4 Rb 2.71

Properties
The magnetization comes out at 4.51 μB per cell.

Relative to the most stable one, in meV/atom, the structures come out at model i 0; model ii 1798.

Model i:
CoReB | PBE | relaxed

Lattice parameters (Å, degrees): 5.6142 3.3030 6.4939 90.00 90.00 90.00
Closest atoms and distances in Å follow each position.
Space group Pnma (No. 62)
One atom of each set of equivalent atoms:
Co 0.1448 0.2500 0.0564  4 B 2.08-2.19
Re 0.0290 0.2500 0.6715  5 B 2.34-2.40, 6 Co 2.58-2.62
B 0.2316 0.7500 0.8756  4 Co 2.08-2.19

Properties
The magnetization comes out at 0.00 μB per cell.

Model ii:
CoReB | PBE | relaxed

Lattice parameters (Å, degrees): 7.3727 4.4399 5.2699 90.00 134.29 90.00
Closest atoms and distances in Å follow each position.
Space group Cm (No. 8)
One atom of each set of equivalent atoms:
Co 0.0000 0.0000 0.0000  4 B 2.17-2.33
Co 0.1786 0.0000 0.7136  4 B 2.15-2.34
Re 0.0151 0.5000 0.3663  4 B 2.24-2.28, 1 Co 2.46
Re 0.1858 0.5000 0.0534  4 B 2.26-2.33, 3 Co 2.52
B 0.3402 0.2205 0.5452  1 B 1.96, 2 Co 2.15-2.17

Properties
The magnetization comes out at 0.00 μB per cell.

Model iii:
CoReB | PBE | relaxed

Lattice parameters (Å, degrees): 7.4280 4.5510 5.2087 90.00 134.19 90.00
Closest atoms and distances in Å follow each position.
Space group C2/m (No. 12)
One atom of each set of equivalent atoms:
Co 0.1830 0.0000 0.0103  4 B 2.19-2.32
Re 0.1593 0.5000 0.3365  4 B 2.25-2.29, 1 Re 2.52
B 0.0000 0.2116 0.5000  1 B 1.93

Properties
The magnetization comes out at 3.47 μB per cell.

Relative to the most stable one, in meV/atom, the structures come out at model i 0; model ii 133; model iii 127.

Model i:
CoReB | PBE | relaxed

Lattice parameters (Å, degrees): 5.1538 6.7222 4.2234 90.00 118.86 90.00
Closest atoms and distances in Å follow each position.
Space group Cc (No. 9)
One atom of each set of equivalent atoms:
Co 0.0000 0.0700 0.0000  2 B 1.97-1.99
Re 0.0166 0.3464 0.5350  4 B 2.19-2.33
B 0.3560 0.1549 0.4517  2 Co 1.97-1.99, 2 Re 2.19-2.20

Properties
The magnetization comes out at 1.64 μB per cell.

Model ii:
CoReB | PBE | relaxed

Lattice parameters (Å, degrees): 2.5941 2.9711 8.2023 90.00 90.00 90.00
Closest atoms and distances in Å follow each position.
Space group Amm2 (No. 38)
One atom of each set of equivalent atoms:
Co 0.0000 0.0000 0.0000  4 B 2.08
Re 0.5000 0.0000 0.7169  3 B 2.24-2.43
B 0.5000 0.0000 0.4205  4 Co 2.08, 2 Re 2.24

Properties
The magnetization comes out at 0.00 μB per cell.

Model iii:
CoReB | PBE | relaxed

Lattice parameters (Å, degrees): 2.6433 2.6433 8.8389 90.00 90.00 90.00
Closest atoms and distances in Å follow each position.
Space group I4mm (No. 107)
One atom of each set of equivalent atoms:
Co 0.0000 0.0000 0.0000  4 B 2.15
Re 0.0000 0.0000 0.7129  4 B 2.38, 5 Co 2.54-2.65, 4 Re 2.64
B 0.0000 0.0000 0.3805  4 Co 2.15, 4 Re 2.38

Properties
The magnetization comes out at 0.87 μB per cell.

Relative to the most stable one, in meV/atom, the structures come out at model i 32; model ii 0; model iii 74.